[1]
VASP calculation (PBE) on AcMgSiIr2 after structural relaxation.

Geometry as POSCAR:
```
AcMgSiIr2
1.0
4.4560 0.0000 0.0000
0.0000 3.9310 0.0000
-2.2280 -1.9655 5.7237
Ac Si Ir Mg
1 1 2 1
Direct
0.4560 0.4560 0.9121
0.8254 0.8254 0.6507
0.7046 0.2046 0.4093
0.0339 0.0339 0.0678
0.1922 0.6922 0.3844
```

Properties
- total energy (eV for the cell shown) = -31.9
- ΔE_f (raw) (eV per atom) = -0.60
- DOS at the Fermi energy (states/eV/cell) = 2.725

[2]
VASP calculation (PBE) on InAsWBr2 after structural relaxation.

Geometry as POSCAR:
```
InAsWBr2
1.0
-4.1671 -0.8026 -3.1597
3.2483 -0.5885 -4.1346
0.2875 -5.4185 0.9972
W Br As In
1 2 1 1
Direct
0.5000 0.5000 0.5000
0.5000 0.0000 0.0000
0.0000 0.5000 0.0000
0.0000 0.0000 0.5000
0.0000 0.0000 0.0000
```

Properties
- total energy (eV for the cell shown) = -17.3
- ΔE_f (raw) (eV per atom) = 1.27
- polymorph energy (0 for the lowest one) (eV per atom) = 1.025
- DOS at the Fermi energy (states/eV/cell) = 5.267

[3]
VASP calculation (PBE) on Cd3GaTe2F6 after structural relaxation.

Geometry as POSCAR:
```
Cd3GaTe2F6
1.0
5.8582 0.0004 0.3488
0.0005 6.4517 -0.0013
-0.3123 -3.2271 6.1774
Te Cd F Ga
2 3 6 1
Direct
0.9047 0.2815 0.5632
0.0953 0.7185 0.4368
0.5000 0.5000 0.5000
0.5000 0.0000 0.5000
0.0000 0.5000 0.0000
0.6788 0.8488 0.1334
0.3216 0.1326 0.2651
0.6784 0.8674 0.7349
0.6787 0.2847 0.1335
0.3212 0.1512 0.8666
0.3213 0.7153 0.8665
0.5000 0.0000 0.0000
```

Properties
- total energy (eV for the cell shown) = -43.2
- ΔE_f (raw) (eV per atom) = -1.66
- DOS at the Fermi energy (states/eV/cell) = 2.981

[4]
VASP calculation (PBE) on Hf7Zr3Tl2 after structural relaxation.

Geometry as POSCAR:
```
Hf7Zr3Tl2
1.0
-1.4238 -0.0066 2.8760
-4.0060 -2.3948 -1.9887
9.0697 -13.7986 4.4587
Hf Zr Tl
7 3 2
Direct
0.0000 0.0000 0.0000
0.5000 0.2652 0.5326
0.5000 0.0973 0.1723
0.5000 0.9027 0.8277
0.0000 0.5842 0.1450
0.0000 0.4158 0.8550
0.5000 0.7348 0.4674
0.0000 0.1886 0.3664
0.5000 0.5000 0.0000
0.0000 0.8114 0.6336
0.5000 0.6552 0.2954
0.5000 0.3448 0.7046
```

Properties
- total energy (eV for the cell shown) = -98.2
- calculated formation energy (kcal/mol of atoms) = 3.52
- DOS at the Fermi energy (states/eV/cell) = 17.353

[5]
VASP calculation (PBE) on LiMgAlF6 after structural relaxation.

Geometry as POSCAR:
```
LiMgAlF6
1.0
5.0486 0.0000 0.0000
-2.5243 4.3722 0.0000
0.0000 0.0000 8.9371
Mg F Al Li
2 12 2 2
Direct
0.6667 0.3333 0.2500
0.3333 0.6667 0.7500
0.0262 0.3677 0.1369
0.6585 0.6323 0.6369
0.3415 0.3677 0.3631
0.3677 0.3415 0.8631
0.6323 0.6585 0.1369
0.3677 0.0262 0.6369
0.6323 0.9738 0.3631
0.3415 0.9738 0.1369
0.6585 0.0262 0.8631
0.0262 0.6585 0.3631
0.9738 0.3415 0.6369
0.9738 0.6323 0.8631
0.6667 0.3333 0.7500
0.3333 0.6667 0.2500
0.0000 0.0000 0.0000
0.0000 0.0000 0.5000
```

Properties
- total energy (eV for the cell shown) = -98.1
- ΔE_f (raw) (eV per atom) = -3.40
- DOS at the Fermi energy (states/eV/cell) = 0.000

[6]
VASP calculation (PBE) on Eu2TmPd after structural relaxation.

Geometry as POSCAR:
```
Eu2TmPd
1.0
3.6624 0.0000 0.0000
0.0000 3.6624 0.0000
0.0000 0.0000 8.8647
Pd Eu Tm
1 2 1
Direct
0.5000 0.5000 0.0000
0.0000 0.0000 0.1972
0.0000 0.0000 0.8028
0.5000 0.5000 0.5000
```

Properties
- total energy (eV for the cell shown) = -31.2
- calculated formation energy (kcal/mol of atoms) = -5.77
- polymorph energy (0 for the lowest one) (eV per atom) = 0.000
- DOS at the Fermi energy (states/eV/cell) = 12.340

[7]
VASP calculation (PBE) on CsTlBiSe3 after structural relaxation.

Geometry as POSCAR:
```
CsTlBiSe3
1.0
4.5175 0.0000 0.0000
0.0000 9.5327 0.6482
0.0000 -3.9575 10.2451
Se Tl Cs Bi
6 2 2 2
Direct
0.7500 0.8717 0.1070
0.2500 0.1283 0.8930
0.2500 0.5326 0.8545
0.7500 0.4674 0.1455
0.7500 0.2318 0.5603
0.2500 0.7682 0.4397
0.2500 0.0814 0.6231
0.7500 0.9186 0.3769
0.7500 0.7798 0.7525
0.2500 0.2202 0.2475
0.2500 0.6670 0.1182
0.7500 0.3330 0.8818
```

Properties
- total energy (eV for the cell shown) = -41.7
- ΔE_f (raw) (eV per atom) = -0.55
- DOS at the Fermi energy (states/eV/cell) = 6.427

[8]
VASP calculation (PBE) on Ti2PdPb2 after structural relaxation.

Geometry as POSCAR:
```
Ti2PdPb2
1.0
-4.0769 -4.9498 2.5274
5.2108 -4.4944 -0.3968
1.2434 1.0781 4.1172
Pb Pd Ti
4 2 4
Direct
0.8247 0.3247 0.5000
0.6753 0.8247 0.5000
0.3247 0.1753 0.5000
0.1753 0.6753 0.5000
0.0000 0.0000 0.0000
0.5000 0.5000 0.0000
0.8638 0.6362 0.0000
0.1362 0.3638 0.0000
0.6362 0.1362 0.0000
0.3638 0.8638 0.0000
```

Properties
- total energy (eV for the cell shown) = -56.3
- calculated formation energy (kcal/mol of atoms) = 1.12
- polymorph energy (0 for the lowest one) (eV per atom) = 0.000
- DOS at the Fermi energy (states/eV/cell) = 9.554

[9]
VASP calculation (PBE) on KNbS after structural relaxation.

Geometry as POSCAR:
```
KNbS
1.0
-0.3273 2.0463 -3.3423
-0.7979 -3.3185 -1.9536
-10.7894 1.4496 1.9442
S K Nb
2 2 2
Direct
0.0000 0.5000 0.8487
0.5000 0.0000 0.1513
0.5000 0.0000 0.6879
0.0000 0.5000 0.3121
0.0000 0.0000 0.0000
0.5000 0.5000 0.0000
```

Properties
- total energy (eV for the cell shown) = -34.9
- ΔE_f (raw) (eV per atom) = -0.72
- DOS at the Fermi energy (states/eV/cell) = 2.506

[10]
VASP calculation (PBE) on SrPdW after structural relaxation.

Geometry as POSCAR:
```
SrPdW
1.0
3.2262 0.0339 -0.0061
-1.8170 10.5683 0.0065
3.2308 0.0327 4.0389
W Pd Sr
2 2 2
Direct
0.3260 0.0335 0.6833
0.3506 0.0825 0.1830
0.5609 0.5262 0.1834
0.7373 0.8616 0.1831
0.4644 0.3422 0.6834
0.6533 0.7023 0.6832
```

Properties
- total energy (eV for the cell shown) = -38.4
- calculated formation energy (kcal/mol of atoms) = 4.94
- polymorph energy (0 for the lowest one) (eV per atom) = 0.061
- DOS at the Fermi energy (states/eV/cell) = 3.643

[11]
VASP calculation (PBE) on NdGdSiAg after structural relaxation.

Geometry as POSCAR:
```
NdGdSiAg
1.0
5.1581 0.0000 0.0000
2.5791 4.4671 0.0000
2.5791 1.4890 4.2116
Nd Si Ag Gd
1 1 1 1
Direct
0.0000 0.0000 0.0000
0.2500 0.2500 0.2500
0.7500 0.7500 0.7500
0.5000 0.5000 0.5000
```

Properties
- total energy (eV for the cell shown) = -28.9
- ΔE_f (raw) (eV per atom) = -0.44
- DOS at the Fermi energy (states/eV/cell) = 3.319

[12]
VASP calculation (PBE) on Na3ZrPb after structural relaxation.

Geometry as POSCAR:
```
Na3ZrPb
1.0
-0.7374 -2.9893 4.8013
5.0271 -2.5652 -0.8250
2.5917 4.1251 2.9664
Na Zr Pb
3 1 1
Direct
0.0000 0.0000 0.5000
0.5000 0.0000 0.0000
0.0000 0.5000 0.0000
0.5000 0.5000 0.5000
0.0000 0.0000 0.0000
```

Properties
- total energy (eV for the cell shown) = -11.7
- calculated formation energy (kcal/mol of atoms) = 20.67
- polymorph energy (0 for the lowest one) (eV per atom) = 0.000
- DOS at the Fermi energy (states/eV/cell) = 2.283

[13]
VASP calculation (PBE) on K3TaSi after structural relaxation.

Geometry as POSCAR:
```
K3TaSi
1.0
-6.2118 -1.4724 -1.7009
-1.1986 -2.0607 6.1615
-1.9037 6.1019 1.6704
Ta K Si
1 3 1
Direct
0.0000 0.0000 0.0000
0.0000 0.0000 0.5000
0.5000 0.0000 0.0000
0.0000 0.5000 0.0000
0.5000 0.5000 0.5000
```

Properties
- total energy (eV for the cell shown) = -11.4
- ΔE_f (raw) (eV per atom) = 1.83
- DOS at the Fermi energy (states/eV/cell) = 5.811

[14]
VASP calculation (PBE) on PrZn2Pt2 after structural relaxation.

Geometry as POSCAR:
```
PrZn2Pt2
1.0
-1.2492 -1.7097 -3.4168
1.9090 -3.3932 1.0000
-5.3160 0.5750 4.0204
Pt Zn Pr
2 2 1
Direct
0.6126 0.6126 0.2253
0.3874 0.3874 0.7747
0.2500 0.7500 0.5000
0.7500 0.2500 0.5000
0.0000 0.0000 0.0000
```

Properties
- total energy (eV for the cell shown) = -23.4
- calculated formation energy (kcal/mol of atoms) = -18.30
- polymorph energy (0 for the lowest one) (eV per atom) = 0.000
- DOS at the Fermi energy (states/eV/cell) = 1.729

[15]
VASP calculation (PBE) on Pu2SbN after structural relaxation.

Geometry as POSCAR:
```
Pu2SbN
1.0
-0.9211 3.4593 -1.9459
0.2147 0.1699 -4.0654
-5.4201 -0.3617 -2.3433
Pu N Sb
2 1 1
Direct
0.8102 0.8102 0.5695
0.1898 0.1898 0.4305
0.5000 0.5000 0.5000
0.0000 0.0000 0.0000
```

Properties
- total energy (eV for the cell shown) = -41.5
- ΔE_f (raw) (eV per atom) = -0.10
- polymorph energy (0 for the lowest one) (eV per atom) = 0.866
- DOS at the Fermi energy (states/eV/cell) = 6.830

[16]
VASP calculation (PBE) on K3Sm3SnSe8 after structural relaxation.

Geometry as POSCAR:
```
K3Sm3SnSe8
1.0
8.4396 -0.0002 -0.0001
-4.2199 7.3085 -0.0306
0.0000 -4.8412 7.8842
K Se Sm Sn
3 8 3 1
Direct
0.5000 0.5000 0.0000
0.0000 0.5000 0.0000
0.0000 0.0000 0.0000
0.7755 0.5510 0.2995
0.2245 0.9761 0.7005
0.2643 0.5286 0.2929
0.7357 0.4714 0.7071
0.7516 0.9761 0.7005
0.2484 0.0239 0.2995
0.7755 0.0239 0.2995
0.2245 0.4490 0.7005
0.5000 0.5000 0.5000
0.5000 0.0000 0.5000
0.0000 0.5000 0.5000
0.0000 0.0000 0.5000
```

Properties
- total energy (eV for the cell shown) = -71.0
- ΔE_f (raw) (eV per atom) = -1.45
- DOS at the Fermi energy (states/eV/cell) = 1.100

[17]
VASP calculation (PBE) on Sr3U3CoN8 after structural relaxation.

Geometry as POSCAR:
```
Sr3U3CoN8
1.0
6.8997 0.0000 -0.0001
-3.4498 5.9787 -0.0201
-0.0001 -3.9671 5.8700
N U Sr Co
8 3 3 1
Direct
0.2370 0.9434 0.6802
0.2653 0.5306 0.2961
0.7347 0.4694 0.7039
0.7630 0.0566 0.3198
0.7626 0.5252 0.3194
0.7064 0.9434 0.6802
0.2936 0.0566 0.3198
0.2374 0.4748 0.6806
0.5000 0.0000 0.5000
0.0000 0.5000 0.5000
0.5000 0.5000 0.5000
0.0000 0.5000 0.0000
0.0000 0.0000 0.0000
0.5000 0.5000 0.0000
0.0000 0.0000 0.5000
```

Properties
- total energy (eV for the cell shown) = -125.7
- ΔE_f (raw) (eV per atom) = -0.87
- DOS at the Fermi energy (states/eV/cell) = 7.114

[18]
VASP calculation (PBE) on La8TbPr2 after structural relaxation.

Geometry as POSCAR:
```
La8TbPr2
1.0
0.0147 -0.7224 6.0886
2.7392 -7.7809 4.3506
9.3285 -0.9010 2.5108
La Tb Pr
8 1 2
Direct
0.5000 0.2042 0.5917
0.8165 0.0968 0.2346
0.5000 0.7958 0.4083
0.7007 0.5800 0.0000
0.2993 0.4200 0.0000
0.1835 0.6687 0.2346
0.1835 0.9032 0.7654
0.8165 0.3313 0.7654
0.5000 0.0000 0.0000
0.0000 0.3092 0.3817
0.0000 0.6908 0.6183
```

Properties
- total energy (eV for the cell shown) = -52.3
- calculated formation energy (kcal/mol of atoms) = 2.69
- DOS at the Fermi energy (states/eV/cell) = 15.585

[19]
VASP calculation (PBE) on Nd5Tm2Mg after structural relaxation.

Geometry as POSCAR:
```
Nd5Tm2Mg
1.0
7.1942 -0.0002 -0.0012
-0.0001 7.1936 -0.0004
-3.5976 -3.5967 4.9947
Nd Mg Tm
5 1 2
Direct
0.7221 0.2221 0.9442
0.2221 0.2221 0.9442
0.7221 0.7221 0.4443
0.2221 0.7221 0.9442
0.7221 0.7221 0.9442
0.2222 0.2222 0.4443
0.7221 0.2221 0.4443
0.2222 0.7221 0.4443
```

Properties
- total energy (eV for the cell shown) = -34.3
- calculated formation energy (kcal/mol of atoms) = 0.27
- DOS at the Fermi energy (states/eV/cell) = 7.785

[20]
VASP calculation (PBE) on Y3TcIr after structural relaxation.

Geometry as POSCAR:
```
Y3TcIr
1.0
5.2938 0.0000 0.0000
0.0000 5.2938 0.0000
0.0000 0.0000 5.2938
Y Tc Ir
3 1 1
Direct
0.0000 0.0000 0.5000
0.5000 0.0000 0.0000
0.0000 0.5000 0.0000
0.5000 0.5000 0.5000
0.0000 0.0000 0.0000
```

Properties
- total energy (eV for the cell shown) = -36.9
- calculated formation energy (kcal/mol of atoms) = 7.75
- polymorph energy (0 for the lowest one) (eV per atom) = 0.000
- DOS at the Fermi energy (states/eV/cell) = 6.316

[21]
VASP calculation (PBE) on Pm2Nd2Ag after structural relaxation.

Geometry as POSCAR:
```
Pm2Nd2Ag
1.0
-0.7453 2.3153 2.7664
-3.5887 -0.7634 -0.3278
3.3247 -9.4803 6.3777
Nd Ag Pm
2 1 2
Direct
0.1945 0.1945 0.3891
0.8055 0.8055 0.6109
0.0000 0.0000 0.0000
0.4172 0.4172 0.8344
0.5828 0.5828 0.1656
```

Properties
- total energy (eV for the cell shown) = -22.3
- calculated formation energy (kcal/mol of atoms) = -2.06
- DOS at the Fermi energy (states/eV/cell) = 6.497

[22]
VASP calculation (PBE) on NbPb2I after structural relaxation.

Geometry as POSCAR:
```
NbPb2I
1.0
-0.8101 -4.0773 -1.6292
4.3125 -1.0503 0.4841
-0.4316 -6.4931 10.3465
Pb I Nb
4 2 2
Direct
0.8750 0.8645 0.7500
0.6145 0.1250 0.2500
0.1355 0.6250 0.2500
0.3750 0.3855 0.7500
0.7500 0.2500 0.5000
0.0000 0.0000 0.0000
0.2500 0.7500 0.5000
0.5000 0.5000 0.0000
```

Properties
- total energy (eV for the cell shown) = -32.3
- ΔE_f (raw) (eV per atom) = 0.73
- polymorph energy (0 for the lowest one) (eV per atom) = 0.000
- DOS at the Fermi energy (states/eV/cell) = 7.722

[23]
VASP calculation (PBE) on BeNbAl after structural relaxation.

Geometry as POSCAR:
```
BeNbAl
1.0
4.7043 0.0000 0.0000
0.0000 5.7303 0.0000
0.0000 0.0000 6.2493
Al Nb Be
4 4 4
Direct
0.7500 0.8422 0.3110
0.7500 0.6578 0.8109
0.2500 0.1578 0.3110
0.2500 0.3422 0.8109
0.7500 0.1471 0.6478
0.2500 0.8529 0.6478
0.7500 0.3529 0.1478
0.2500 0.6471 0.1478
0.5000 0.5000 0.4814
0.5000 0.0000 0.9814
0.0000 0.5000 0.4814
0.0000 0.0000 0.9814
```

Properties
- total energy (eV for the cell shown) = -72.7
- calculated formation energy (kcal/mol of atoms) = -4.91
- polymorph energy (0 for the lowest one) (eV per atom) = 0.142
- DOS at the Fermi energy (states/eV/cell) = 1.839

[24]
VASP calculation (PBE) on Y3Zn2Ni4 after structural relaxation.

Geometry as POSCAR:
```
Y3Zn2Ni4
1.0
4.1292 0.0000 0.0000
-2.0646 4.7562 -0.7568
0.0000 0.1135 8.1944
Y Ni Zn
3 4 2
Direct
0.3752 0.7504 0.6226
0.0000 0.0000 0.0000
0.6248 0.2496 0.3774
0.7305 0.4610 0.0828
0.0825 0.1651 0.6328
0.9175 0.8349 0.3672
0.2695 0.5390 0.9172
0.6819 0.3638 0.7770
0.3181 0.6362 0.2230
```

Properties
- total energy (eV for the cell shown) = -49.0
- calculated formation energy (kcal/mol of atoms) = -9.95
- DOS at the Fermi energy (states/eV/cell) = 5.942